Entry 1:
Density functional theory data (PBE-GGA) for La3Pm2Cd after structural relaxation. Values from VASP.

The calculation puts the uncorrected energy at -25.373 eV/f.u. The symmetry is C2/m, No. 12. The calculation puts the formation energy at -0.03 eV per atom.

Cell and atoms, written as Quantum ESPRESSO input:
```
&SYSTEM
  ibrav = 0, nat = 12, ntyp = 3
/
ATOMIC_SPECIES
La 138.91 La.upf
Pm 145.00 Pm.upf
Cd 112.41 Cd.upf
CELL_PARAMETERS angstrom
3.154 -5.471 0.000
3.154 5.471 0.000
-2.119 0.000 11.702
ATOMIC_POSITIONS crystal
La 0.078 0.420 0.758
La 0.239 0.239 0.241
La 0.420 0.078 0.758
La 0.580 0.922 0.242
La 0.761 0.761 0.759
La 0.922 0.580 0.242
Pm 0.000 0.000 0.500
Pm 0.337 0.663 0.500
Pm 0.500 0.500 0.000
Pm 0.663 0.337 0.500
Cd 0.168 0.832 0.000
Cd 0.832 0.168 0.000
```

=====

Entry 2:
Density functional theory data (PBE-GGA) for La5Pm4Cd after structural relaxation. Values from VASP.

The calculation puts the uncorrected energy at -45.054 eV/f.u. The symmetry is P4/mmm, No. 123. The calculation puts the formation energy at -0.05 eV per atom.

Cell and atoms, written as Quantum ESPRESSO input:
```
&SYSTEM
  ibrav = 0, nat = 10, ntyp = 3
/
ATOMIC_SPECIES
La 138.91 La.upf
Pm 145.00 Pm.upf
Cd 112.41 Cd.upf
CELL_PARAMETERS angstrom
3.747 0.000 0.000
0.000 3.747 0.000
0.000 0.000 24.810
ATOMIC_POSITIONS crystal
La 0.000 0.000 0.000
La 0.000 0.000 0.207
La 0.000 0.000 0.414
La 0.000 0.000 0.586
La 0.000 0.000 0.793
Pm 0.500 0.500 0.103
Pm 0.500 0.500 0.310
Pm 0.500 0.500 0.690
Pm 0.500 0.500 0.897
Cd 0.500 0.500 0.500
```

=====

Entry 3:
Density functional theory data (PBE-GGA) for LaPm5Cd6 after structural relaxation. Values from VASP.

The calculation puts the uncorrected energy at -38.002 eV/f.u. The symmetry is Cmmm, No. 65. The calculation puts the formation energy at -0.32 eV per atom.

Cell and atoms, written as Quantum ESPRESSO input:
```
&SYSTEM
  ibrav = 0, nat = 12, ntyp = 3
/
ATOMIC_SPECIES
La 138.91 La.upf
Pm 145.00 Pm.upf
Cd 112.41 Cd.upf
CELL_PARAMETERS angstrom
2.712 -8.144 0.000
2.712 8.144 0.000
0.000 0.000 7.746
ATOMIC_POSITIONS crystal
La 0.000 0.000 0.000
Pm 0.000 0.000 0.500
Pm 0.333 0.667 0.000
Pm 0.335 0.665 0.500
Pm 0.665 0.335 0.500
Pm 0.667 0.333 0.000
Cd 0.169 0.831 0.254
Cd 0.169 0.831 0.746
Cd 0.500 0.500 0.254
Cd 0.500 0.500 0.746
Cd 0.831 0.169 0.254
Cd 0.831 0.169 0.746
```

=====

Entry 4:
Density functional theory data (PBE-GGA) for La6Pm3Cd after structural relaxation. Values from VASP.

The calculation puts the uncorrected energy at -44.298 eV/f.u. The symmetry is Pnnm, No. 58. The calculation puts the formation energy at 0.04 eV per atom.

Cell and atoms, written as Quantum ESPRESSO input:
```
&SYSTEM
  ibrav = 0, nat = 20, ntyp = 3
/
ATOMIC_SPECIES
La 138.91 La.upf
Pm 145.00 Pm.upf
Cd 112.41 Cd.upf
CELL_PARAMETERS angstrom
10.637 0.000 0.000
0.000 12.199 0.000
0.000 0.000 5.516
ATOMIC_POSITIONS crystal
La 0.069 0.249 0.000
La 0.170 0.419 0.500
La 0.211 0.112 0.500
La 0.289 0.612 0.000
La 0.330 0.919 0.000
La 0.431 0.749 0.500
La 0.569 0.251 0.500
La 0.670 0.081 0.000
La 0.711 0.388 0.000
La 0.789 0.888 0.500
La 0.830 0.581 0.500
La 0.931 0.751 0.000
Pm 0.000 0.000 0.000
Pm 0.120 0.781 0.500
Pm 0.380 0.281 0.000
Pm 0.500 0.500 0.500
Pm 0.620 0.719 0.000
Pm 0.880 0.219 0.500
Cd 0.000 0.500 0.000
Cd 0.500 0.000 0.500
```

=====

Entry 5:
Density functional theory data (PBE-GGA) for La2Pm6Cd after structural relaxation. Values from VASP.

The calculation puts the uncorrected energy at -39.448 eV/f.u. The symmetry is P-1, No. 2. The calculation puts the formation energy at -0.02 eV per atom.

Cell and atoms, written as Quantum ESPRESSO input:
```
&SYSTEM
  ibrav = 0, nat = 18, ntyp = 3
/
ATOMIC_SPECIES
La 138.91 La.upf
Pm 145.00 Pm.upf
Cd 112.41 Cd.upf
CELL_PARAMETERS angstrom
6.726 0.000 0.000
-1.423 9.042 0.000
-1.909 -3.104 10.050
ATOMIC_POSITIONS crystal
La 0.132 0.223 0.495
La 0.303 0.882 0.337
La 0.697 0.118 0.663
La 0.868 0.777 0.505
Pm 0.036 0.493 0.289
Pm 0.195 0.142 0.133
Pm 0.225 0.058 0.779
Pm 0.318 0.794 0.968
Pm 0.383 0.675 0.599
Pm 0.498 0.452 0.824
Pm 0.502 0.548 0.176
Pm 0.617 0.325 0.401
Pm 0.682 0.206 0.032
Pm 0.775 0.942 0.221
Pm 0.805 0.858 0.867
Pm 0.964 0.507 0.711
Cd 0.082 0.360 0.945
Cd 0.918 0.640 0.055
```

=====

Entry 6:
Density functional theory data (PBE-GGA) for LaPmPrCd after structural relaxation. Values from VASP.

The calculation puts the uncorrected energy at -15.530 eV/f.u. The symmetry is F-43m, No. 216. The calculation puts the formation energy at -0.04 eV per atom.

Cell and atoms, written as Quantum ESPRESSO input:
```
&SYSTEM
  ibrav = 0, nat = 16, ntyp = 4
/
ATOMIC_SPECIES
La 138.91 La.upf
Pm 145.00 Pm.upf
Pr 140.91 Pr.upf
Cd 112.41 Cd.upf
CELL_PARAMETERS angstrom
8.001 0.000 0.000
0.000 8.001 0.000
0.000 0.000 8.001
ATOMIC_POSITIONS crystal
La 0.000 0.000 0.000
La 0.000 0.500 0.500
La 0.500 0.000 0.500
La 0.500 0.500 0.000
Pm 0.250 0.250 0.250
Pm 0.250 0.750 0.750
Pm 0.750 0.250 0.750
Pm 0.750 0.750 0.250
Pr 0.000 0.000 0.500
Pr 0.000 0.500 0.000
Pr 0.500 0.000 0.000
Pr 0.500 0.500 0.500
Cd 0.250 0.250 0.750
Cd 0.250 0.750 0.250
Cd 0.750 0.250 0.250
Cd 0.750 0.750 0.750
```

=====

Entry 7:
Density functional theory data (PBE-GGA) for La5PmPrCd2 after structural relaxation. Values from VASP.

The calculation puts the uncorrected energy at -35.850 eV/f.u. The symmetry is I4/mcm, No. 140. The calculation puts the formation energy at 0.02 eV per atom.

Cell and atoms, written as Quantum ESPRESSO input:
```
&SYSTEM
  ibrav = 0, nat = 18, ntyp = 4
/
ATOMIC_SPECIES
La 138.91 La.upf
Pm 145.00 Pm.upf
Pr 140.91 Pr.upf
Cd 112.41 Cd.upf
CELL_PARAMETERS angstrom
-4.505 4.505 7.478
4.505 -4.505 7.478
4.505 4.505 -7.478
ATOMIC_POSITIONS crystal
La 0.000 0.000 0.000
La 0.072 0.572 0.903
La 0.168 0.072 0.500
La 0.332 0.832 0.903
La 0.428 0.332 0.500
La 0.500 0.500 0.000
La 0.572 0.668 0.500
La 0.668 0.168 0.097
La 0.832 0.928 0.500
La 0.928 0.428 0.097
Pm 0.250 0.750 0.500
Pm 0.750 0.250 0.500
Pr 0.250 0.250 0.000
Pr 0.750 0.750 0.000
Cd 0.106 0.394 0.500
Cd 0.394 0.894 0.287
Cd 0.606 0.106 0.713
Cd 0.894 0.606 0.500
```

=====

Entry 8:
Density functional theory data (PBE-GGA) for La2Pm3Pr6Cd after structural relaxation. Values from VASP.

The calculation puts the uncorrected energy at -53.913 eV/f.u. The symmetry is C2/m, No. 12. The calculation puts the formation energy at -0.02 eV per atom.

Cell and atoms, written as Quantum ESPRESSO input:
```
&SYSTEM
  ibrav = 0, nat = 12, ntyp = 4
/
ATOMIC_SPECIES
La 138.91 La.upf
Pm 145.00 Pm.upf
Pr 140.91 Pr.upf
Cd 112.41 Cd.upf
CELL_PARAMETERS angstrom
3.161 -5.482 0.000
3.161 5.482 0.000
-2.150 0.000 11.912
ATOMIC_POSITIONS crystal
La 0.167 0.833 0.000
La 0.833 0.167 0.000
Pm 0.000 0.000 0.500
Pm 0.333 0.667 0.500
Pm 0.667 0.333 0.500
Pr 0.091 0.418 0.751
Pr 0.255 0.255 0.250
Pr 0.418 0.091 0.751
Pr 0.582 0.909 0.249
Pr 0.745 0.745 0.750
Pr 0.909 0.582 0.249
Cd 0.500 0.500 0.000
```

=====

Entry 9:
Density functional theory data (PBE-GGA) for LaPmPrCd after structural relaxation. Values from VASP.

The calculation puts the uncorrected energy at -15.993 eV/f.u. The symmetry is P4mm, No. 99. The calculation puts the formation energy at -0.15 eV per atom.

Cell and atoms, written as Quantum ESPRESSO input:
```
&SYSTEM
  ibrav = 0, nat = 4, ntyp = 4
/
ATOMIC_SPECIES
La 138.91 La.upf
Pm 145.00 Pm.upf
Pr 140.91 Pr.upf
Cd 112.41 Cd.upf
CELL_PARAMETERS angstrom
3.778 0.000 0.000
0.000 3.778 0.000
0.000 0.000 9.154
ATOMIC_POSITIONS crystal
La 0.000 0.000 0.000
Pm 0.000 0.000 0.554
Pr 0.500 0.500 0.282
Cd 0.500 0.500 0.767
```

=====

Entry 10:
Density functional theory data (PBE-GGA) for La2Pm2PrCd5 after structural relaxation. Values from VASP.

The calculation puts the uncorrected energy at -30.772 eV/f.u. The symmetry is P4/mbm, No. 127. The calculation puts the formation energy at -0.21 eV per atom.

Cell and atoms, written as Quantum ESPRESSO input:
```
&SYSTEM
  ibrav = 0, nat = 20, ntyp = 4
/
ATOMIC_SPECIES
La 138.91 La.upf
Pm 145.00 Pm.upf
Pr 140.91 Pr.upf
Cd 112.41 Cd.upf
CELL_PARAMETERS angstrom
10.840 0.000 0.000
0.000 10.840 0.000
0.000 0.000 4.956
ATOMIC_POSITIONS crystal
La 0.176 0.324 0.000
La 0.324 0.824 0.000
La 0.676 0.176 0.000
La 0.824 0.676 0.000
Pm 0.124 0.624 0.000
Pm 0.376 0.124 0.000
Pm 0.624 0.876 0.000
Pm 0.876 0.376 0.000
Pr 0.000 0.000 0.000
Pr 0.500 0.500 0.000
Cd 0.000 0.500 0.500
Cd 0.070 0.805 0.500
Cd 0.195 0.070 0.500
Cd 0.305 0.570 0.500
Cd 0.430 0.305 0.500
Cd 0.500 0.000 0.500
Cd 0.570 0.695 0.500
Cd 0.695 0.430 0.500
Cd 0.805 0.930 0.500
Cd 0.930 0.195 0.500
```

=====

Entry 11:
Density functional theory data (PBE-GGA) for La2Pm7PrCd2 after structural relaxation. Values from VASP.

The calculation puts the uncorrected energy at -49.702 eV/f.u. The symmetry is Cmmm, No. 65. The calculation puts the formation energy at 0.00 eV per atom.

Cell and atoms, written as Quantum ESPRESSO input:
```
&SYSTEM
  ibrav = 0, nat = 12, ntyp = 4
/
ATOMIC_SPECIES
La 138.91 La.upf
Pm 145.00 Pm.upf
Pr 140.91 Pr.upf
Cd 112.41 Cd.upf
CELL_PARAMETERS angstrom
3.486 -5.535 0.000
3.486 5.535 0.000
0.000 0.000 10.336
ATOMIC_POSITIONS crystal
La 0.000 0.000 0.170
La 0.000 0.000 0.830
Pm 0.000 0.000 0.500
Pm 0.000 0.500 0.321
Pm 0.000 0.500 0.679
Pm 0.273 0.727 0.000
Pm 0.500 0.000 0.321
Pm 0.500 0.000 0.679
Pm 0.727 0.273 0.000
Pr 0.500 0.500 0.500
Cd 0.500 0.500 0.193
Cd 0.500 0.500 0.807
```

=====

Entry 12:
Density functional theory data (PBE-GGA) for LaPmCdPt after structural relaxation. Values from VASP.

The calculation puts the uncorrected energy at -19.162 eV/f.u. The symmetry is F-43m, No. 216. The calculation puts the formation energy at -0.63 eV per atom.

Cell and atoms, written as Quantum ESPRESSO input:
```
&SYSTEM
  ibrav = 0, nat = 16, ntyp = 4
/
ATOMIC_SPECIES
La 138.91 La.upf
Pm 145.00 Pm.upf
Cd 112.41 Cd.upf
Pt 195.08 Pt.upf
CELL_PARAMETERS angstrom
7.482 0.000 0.000
0.000 7.482 0.000
0.000 0.000 7.482
ATOMIC_POSITIONS crystal
La 0.000 0.000 0.000
La 0.000 0.500 0.500
La 0.500 0.000 0.500
La 0.500 0.500 0.000
Pm 0.000 0.000 0.500
Pm 0.000 0.500 0.000
Pm 0.500 0.000 0.000
Pm 0.500 0.500 0.500
Cd 0.250 0.250 0.750
Cd 0.250 0.750 0.250
Cd 0.750 0.250 0.250
Cd 0.750 0.750 0.750
Pt 0.250 0.250 0.250
Pt 0.250 0.750 0.750
Pt 0.750 0.250 0.750
Pt 0.750 0.750 0.250
```

=====

Number 1: V 403.9 Å³ per cell. Number 2: V 348.3 Å³ per cell. Number 3: V 342.1 Å³ per cell. Number 4: V 715.7 Å³ per cell. Number 5: V 611.2 Å³ per cell. Number 6: V 512.2 Å³ per cell. Number 7: V 607.1 Å³ per cell. Number 8: V 412.8 Å³ per cell. Number 9: V 130.7 Å³ per cell. Number 10: V 582.4 Å³ per cell. Number 11: V 398.8 Å³ per cell. Number 12: V 418.8 Å³ per cell.